No. 1
Entry from Alexandria: CdBi2Rh after structural relaxation (PBE-GGA).

Summary:
ΔH_f (0 K) ... -0.8 kJ per mole of atoms

Cell: 6.986 6.986 6.986 Å, 98.44 98.44 134.96°
Positions (direct):
Cd  0.000  0.000  0.000
Cd  0.750  0.250  0.500
Bi  0.231  0.125  0.606
Bi  0.375  0.769  0.894
Bi  0.519  0.625  0.394
Bi  0.875  0.481  0.106
Rh  0.250  0.750  0.500
Rh  0.500  0.500  0.000

No. 2
Entry from Alexandria: CdBi3Rh after structural relaxation (PBE-GGA).

Summary:
ΔH_f (0 K) ... -6.7 kJ per mole of atoms
Excess energy over the best structure of this formula in the dataset ... 0.000 eV per atom

Cell: 7.104 7.104 6.990 Å, 118.89 118.89 77.78°
Positions (direct):
Cd  0.055  0.055  0.247
Cd  0.945  0.945  0.753
Bi  0.010  0.402  0.743
Bi  0.402  0.010  0.743
Bi  0.430  0.430  0.662
Bi  0.570  0.570  0.338
Bi  0.598  0.990  0.257
Bi  0.990  0.598  0.257
Rh  0.259  0.259  0.130
Rh  0.741  0.741  0.870